Entry 1:
Entry from the Alexandria database: Nd2Sn8Ru after structural relaxation (GGA-PBE).

Results
Electronic total energy = -0.3685 Ry per atom
N(E_F) = 0.4749 states/eV/atom

Unit cell a=4.7323 b=4.7323 c=12.5374 alpha=90.00 beta=90.00 gamma=90.00
Last column: nearest neighbours and their distance in Å.
Element x y z (fractional)
Sn1 0.0000 0.5000 0.8808  2 Ru 2.80, 1 Sn 2.99
Sn2 0.5000 0.0000 0.8808  2 Ru 2.80, 1 Sn 2.99
Sn3 0.0000 0.5000 0.1192  2 Ru 2.80, 1 Sn 2.99
Sn4 0.5000 0.5000 0.3042  8 Sn 3.31-3.41, 4 Nd 3.35
Ru1 0.0000 0.0000 0.0000  8 Sn 2.80
Sn5 0.0000 0.5000 0.5000  8 Sn 3.35-3.41, 4 Nd 3.37
Nd1 0.0000 0.0000 0.6919  12 Sn 3.35-3.37
Sn6 0.5000 0.0000 0.1192  2 Ru 2.80, 1 Sn 2.99
Sn7 0.5000 0.0000 0.5000  8 Sn 3.35-3.41, 4 Nd 3.37
Sn8 0.5000 0.5000 0.6958  8 Sn 3.31-3.41, 4 Nd 3.35
Nd2 0.0000 0.0000 0.3081  12 Sn 3.35-3.37

---

Entry 2:
Entry from the Alexandria database: Nd12SnRu5 after structural relaxation (GGA-PBE).

Results
Electronic total energy = -0.4589 Ry per atom
N(E_F) = 0.9074 states/eV/atom

Unit cell a=8.6815 b=8.6815 c=8.6815 alpha=105.37 beta=112.64 gamma=110.49
Last column: nearest neighbours and their distance in Å.
Element x y z (fractional)
Sn1 0.0000 0.5000 0.5000  12 Nd 3.44-3.81
Nd1 0.8997 0.1797 0.7201  4 Ru 3.05-3.23
Ru1 0.5000 0.1210 0.6210  1 Ru 2.55, 2 Nd 2.81
Nd2 0.1003 0.8203 0.2799  4 Ru 3.05-3.23
Nd3 0.4596 0.1797 0.2799  4 Ru 3.05-3.23
Nd4 0.8108 0.5846 0.7738  2 Ru 2.78-3.03
Nd5 0.3143 0.3274 0.6417  3 Ru 2.81-3.03
Ru2 0.0000 0.0000 0.0000  8 Nd 3.03-3.23, 2 Ru 3.31
Ru3 0.5000 0.8790 0.3790  1 Ru 2.55, 2 Nd 2.81
Nd6 0.3143 0.6726 0.9869  3 Ru 2.81-3.03
Ru4 0.3341 0.3341 0.0000  8 Nd 2.78-3.10
Nd7 0.6857 0.3274 0.0131  3 Ru 2.81-3.03
Nd8 0.1892 0.9629 0.7738  2 Ru 2.78-3.03
Nd9 0.1892 0.4154 0.2262  2 Ru 2.78-3.03
Ru5 0.6659 0.6659 0.0000  8 Nd 2.78-3.10
Nd10 0.5404 0.8203 0.7201  4 Ru 3.05-3.23
Nd11 0.6857 0.6726 0.3583  3 Ru 2.81-3.03
Nd12 0.8108 0.0371 0.2262  2 Ru 2.78-3.03

---

Entry 3:
Entry from the Alexandria database: NdSn4Ru after structural relaxation (GGA-PBE).

Results
Electronic total energy = -0.3898 Ry per atom
N(E_F) = 0.6806 states/eV/atom

Unit cell a=6.4807 b=6.5073 c=9.8024 alpha=90.00 beta=48.59 gamma=90.00
Last column: nearest neighbours and their distance in Å.
Element x y z (fractional)
Sn1 0.0140 0.1882 0.2983  2 Ru 2.79, 1 Sn 2.96
Sn2 0.5140 0.3118 0.2983  2 Ru 2.79, 1 Sn 2.96
Sn3 0.1108 0.3120 0.7015  2 Ru 2.79, 1 Sn 2.96
Sn4 0.9860 0.8118 0.7017  2 Ru 2.79, 1 Sn 2.96
Nd1 0.0000 0.0000 0.0000  8 Sn 3.23
Sn5 0.3892 0.8119 0.2985  2 Ru 2.79, 1 Sn 2.96
Ru1 0.5000 0.0000 0.5000  8 Sn 2.79
Ru2 0.0000 0.5000 0.5000  8 Sn 2.79
Sn6 0.4860 0.6882 0.7017  2 Ru 2.79, 1 Sn 2.96
Sn7 0.8892 0.6881 0.2985  2 Ru 2.79, 1 Sn 2.96
Sn8 0.6108 0.1880 0.7015  2 Ru 2.79, 1 Sn 2.96
Nd2 0.5000 0.5000 0.0000  8 Sn 3.23

---

Entry 4:
Entry from the Alexandria database: Nd6SnRu after structural relaxation (GGA-PBE).

Results
Electronic total energy = -0.3946 Ry per atom
N(E_F) = 0.9651 states/eV/atom

Unit cell a=6.6211 b=8.1079 c=6.5488 alpha=51.75 beta=80.99 gamma=75.35
Last column: nearest neighbours and their distance in Å.
Element x y z (fractional)
Sn1 0.0000 0.0000 0.0000  6 Nd 3.31-3.61
Nd1 0.6306 0.7904 0.0000  1 Ru 2.71
Nd2 0.7890 0.1931 0.3753  1 Ru 2.72
Nd3 0.3694 0.2096 0.0000  1 Ru 2.71
Ru1 0.5000 0.5000 0.0000  6 Nd 2.71-2.72
Nd4 0.7890 0.5684 0.6247  1 Ru 2.72
Nd5 0.2110 0.4316 0.3753  1 Ru 2.72
Nd6 0.2110 0.8069 0.6247  1 Ru 2.72

---

Entry 5:
Entry from the Alexandria database: NdSn2Ru after structural relaxation (GGA-PBE).

Results
Electronic total energy = -0.4409 Ry per atom
N(E_F) = 0.7154 states/eV/atom

Unit cell a=4.5894 b=9.8578 c=10.1218 alpha=119.14 beta=103.10 gamma=90.00
Last column: nearest neighbours and their distance in Å.
Element x y z (fractional)
Nd1 0.2899 0.2899 0.5797  9 Sn 3.17-3.49, 2 Ru 3.54
Sn1 0.0852 0.0852 0.1704  2 Ru 2.66, 1 Sn 2.91
Sn2 0.6997 0.0351 0.3995  3 Ru 2.64-2.83
Sn3 0.6997 0.3644 0.3995  3 Ru 2.64-2.83
Sn4 0.0822 0.5822 0.1645  2 Ru 2.66, 1 Sn 2.81
Ru1 0.1421 0.3932 0.2841  5 Sn 2.64-2.83
Sn5 0.9178 0.4178 0.8355  2 Ru 2.66, 1 Sn 2.81
Sn6 0.9148 0.9148 0.8296  2 Ru 2.66, 1 Sn 2.91
Nd2 0.7101 0.7101 0.4203  9 Sn 3.17-3.49, 2 Ru 3.54
Nd3 0.5000 0.7398 0.0000  4 Ru 3.34, 10 Sn 3.54-3.74
Ru2 0.8579 0.1091 0.7159  5 Sn 2.64-2.83
Ru3 0.8579 0.6068 0.7159  5 Sn 2.64-2.83
Sn7 0.3003 0.6356 0.6005  3 Ru 2.64-2.83
Sn8 0.3003 0.9649 0.6005  3 Ru 2.64-2.83
Nd4 0.5000 0.2602 0.0000  4 Ru 3.34, 10 Sn 3.54-3.74
Ru4 0.1421 0.8909 0.2841  5 Sn 2.64-2.83

---

Entry 6:
Entry from the Alexandria database: Nd3Sn2Ru after structural relaxation (GGA-PBE).

Results
Electronic total energy = -0.4316 Ry per atom
N(E_F) = 0.7375 states/eV/atom

Unit cell a=4.4345 b=12.0228 c=12.8110 alpha=90.00 beta=90.00 gamma=90.00
Last column: nearest neighbours and their distance in Å.
Element x y z (fractional)
Nd1 0.2500 0.3715 0.0535  1 Ru 3.03, 4 Sn 3.16-3.26
Nd2 0.7500 0.2118 0.2608  2 Ru 2.95
Ru1 0.7500 0.6327 0.3715  3 Sn 2.77-2.83, 5 Nd 2.95-3.09
Nd3 0.7500 0.9535 0.1190  3 Ru 3.09-3.34, 5 Sn 3.23-3.36
Nd4 0.2500 0.0465 0.8810  3 Ru 3.09-3.34, 5 Sn 3.23-3.36
Ru2 0.7500 0.8673 0.8715  3 Sn 2.77-2.83, 5 Nd 2.95-3.09
Sn1 0.7500 0.1920 0.0032  2 Ru 2.83, 2 Nd 3.16
Sn2 0.2500 0.0063 0.3094  1 Ru 2.77
Sn3 0.2500 0.4937 0.8094  1 Ru 2.77
Sn4 0.7500 0.5063 0.1906  1 Ru 2.77
Nd5 0.7500 0.5465 0.6190  3 Ru 3.09-3.34, 5 Sn 3.23-3.36
Sn5 0.7500 0.3080 0.5032  2 Ru 2.83, 2 Nd 3.16
Nd6 0.2500 0.7882 0.7392  2 Ru 2.95
Ru3 0.2500 0.1327 0.1285  3 Sn 2.77-2.83, 5 Nd 2.95-3.09
Nd7 0.7500 0.2882 0.7608  2 Ru 2.95
Nd8 0.2500 0.4535 0.3810  3 Ru 3.09-3.34, 5 Sn 3.23-3.36
Sn6 0.2500 0.8080 0.9968  2 Ru 2.83, 2 Nd 3.16
Ru4 0.2500 0.3673 0.6285  3 Sn 2.77-2.83, 5 Nd 2.95-3.09
Nd9 0.7500 0.8715 0.4465  1 Ru 3.03, 4 Sn 3.16-3.26
Nd10 0.7500 0.6285 0.9465  1 Ru 3.03, 4 Sn 3.16-3.26
Sn7 0.7500 0.9937 0.6906  1 Ru 2.77
Nd11 0.2500 0.1285 0.5535  1 Ru 3.03, 4 Sn 3.16-3.26
Sn8 0.2500 0.6920 0.4968  2 Ru 2.83, 2 Nd 3.16
Nd12 0.2500 0.7118 0.2392  2 Ru 2.95

---

Calculated volume across the listed records, respectively: 25.524, 27.865, 25.835, 33.390, 24.141, 28.459 A^3/atom.